1.
! PBE K2Sr2Sn, optimized geometry; values from VASP
! - ρ: 2.70 Mg/m³
! - Space group: P4/mbm
! - Energy of formation: 106 meV per atom
! - Energy: -1.807 eV per atom
&SYSTEM
  ibrav = 0, nat = 10, ntyp = 3
/
ATOMIC_SPECIES
Sr 87.62 Sr.upf
K 39.10 K.upf
Sn 118.71 Sn.upf
ATOMIC_POSITIONS crystal
Sr 0.197 0.697 0.500
Sr 0.697 0.803 0.500
Sr 0.803 0.303 0.500
Sr 0.303 0.197 0.500
K 0.370 0.870 0.000
K 0.870 0.630 0.000
K 0.630 0.130 0.000
K 0.130 0.370 0.000
Sn 0.000 0.000 0.000
Sn 0.500 0.500 0.000
CELL_PARAMETERS angstrom
8.687 0.000 0.000
0.000 8.687 0.000
0.000 0.000 6.075

---

2.
! PBE KSrSn4, optimized geometry; values from VASP
! - ρ: 5.29 Mg/m³
! - Space group: F-43m
! - Energy of formation: -311 meV per atom
! - Energy: -3.442 eV per atom
&SYSTEM
  ibrav = 0, nat = 6, ntyp = 3
/
ATOMIC_SPECIES
Sr 87.62 Sr.upf
K 39.10 K.upf
Sn 118.71 Sn.upf
ATOMIC_POSITIONS crystal
Sr 0.250 0.250 0.250
K 0.000 0.000 0.000
Sn 0.625 0.625 0.126
Sn 0.625 0.126 0.625
Sn 0.625 0.625 0.625
Sn 0.126 0.625 0.625
CELL_PARAMETERS angstrom
6.441 0.000 0.000
3.220 5.578 0.000
3.220 1.859 5.259

---

3.
! PBE K2Sr2Sn, optimized geometry; values from VASP
! - ρ: 2.27 Mg/m³
! - Space group: I4/mmm
! - Energy of formation: 361 meV per atom
! - Energy: -1.551 eV per atom
&SYSTEM
  ibrav = 0, nat = 5, ntyp = 3
/
ATOMIC_SPECIES
Sr 87.62 Sr.upf
K 39.10 K.upf
Sn 118.71 Sn.upf
ATOMIC_POSITIONS crystal
Sr 0.750 0.250 0.500
Sr 0.250 0.750 0.500
K 0.417 0.417 0.165
K 0.583 0.583 0.835
Sn 0.000 0.000 0.000
CELL_PARAMETERS angstrom
5.160 0.000 0.000
0.000 5.160 0.000
2.580 2.580 10.223

---

4.
! PBE KSr2Sn2, optimized geometry; values from VASP
! - ρ: 4.09 Mg/m³
! - Space group: P4/mbm
! - Energy of formation: -429 meV per atom
! - Energy: -2.923 eV per atom
&SYSTEM
  ibrav = 0, nat = 10, ntyp = 3
/
ATOMIC_SPECIES
Sr 87.62 Sr.upf
K 39.10 K.upf
Sn 118.71 Sn.upf
ATOMIC_POSITIONS crystal
Sr 0.374 0.874 0.000
Sr 0.874 0.626 0.000
Sr 0.626 0.126 0.000
Sr 0.126 0.374 0.000
K 0.000 0.000 0.000
K 0.500 0.500 0.000
Sn 0.172 0.672 0.500
Sn 0.672 0.828 0.500
Sn 0.828 0.328 0.500
Sn 0.328 0.172 0.500
CELL_PARAMETERS angstrom
10.098 0.000 0.000
0.000 10.098 0.000
0.000 0.000 3.599

---

5.
! PBE KSr2Sn2, optimized geometry; values from VASP
! - ρ: 3.23 Mg/m³
! - Space group: I4/mmm
! - Energy of formation: -112 meV per atom
! - Energy: -2.606 eV per atom
&SYSTEM
  ibrav = 0, nat = 5, ntyp = 3
/
ATOMIC_SPECIES
Sr 87.62 Sr.upf
K 39.10 K.upf
Sn 118.71 Sn.upf
ATOMIC_POSITIONS crystal
Sr 0.345 0.345 0.311
Sr 0.655 0.655 0.689
K 0.000 0.000 0.000
Sn 0.750 0.250 0.500
Sn 0.250 0.750 0.500
CELL_PARAMETERS angstrom
6.013 0.000 0.000
0.000 6.013 0.000
3.007 3.007 6.426

---

6.
! PBE K3SrSn, optimized geometry; values from VASP
! - ρ: 1.34 Mg/m³
! - Space group: Pm-3m
! - Energy of formation: 746 meV per atom
! - Energy: -1.050 eV per atom
&SYSTEM
  ibrav = 0, nat = 5, ntyp = 3
/
ATOMIC_SPECIES
Sr 87.62 Sr.upf
K 39.10 K.upf
Sn 118.71 Sn.upf
ATOMIC_POSITIONS crystal
Sr 0.000 0.000 0.000
K 0.000 0.500 0.000
K 0.000 0.000 0.500
K 0.500 0.000 0.000
Sn 0.500 0.500 0.500
CELL_PARAMETERS angstrom
-3.217 4.395 4.959
-2.792 -5.898 3.417
6.009 -0.387 4.242

---

7.
! PBE KSr2TcSn, optimized geometry; values from VASP
! - ρ: 3.33 Mg/m³
! - Space group: P4/mmm
! - Energy of formation: 512 meV per atom
! - Energy: -3.254 eV per atom
&SYSTEM
  ibrav = 0, nat = 5, ntyp = 4
/
ATOMIC_SPECIES
Sr 87.62 Sr.upf
K 39.10 K.upf
Sn 118.71 Sn.upf
Tc 98.00 Tc.upf
ATOMIC_POSITIONS crystal
Sr 0.000 0.000 0.500
Sr 0.500 0.000 0.000
K 0.500 0.500 0.500
Sn 0.000 0.000 0.000
Tc 0.000 0.500 0.000
CELL_PARAMETERS angstrom
-5.050 -3.199 -2.325
-1.136 -1.698 4.803
-3.701 5.153 0.947

---

8.
! PBE KSrSnTe2, optimized geometry; values from VASP
! - ρ: 4.06 Mg/m³
! - Space group: P4/mmm
! - Energy: -2.346 eV per atom
! - E_form (uncorrected): 0.27 eV per atom
&SYSTEM
  ibrav = 0, nat = 5, ntyp = 4
/
ATOMIC_SPECIES
Sr 87.62 Sr.upf
K 39.10 K.upf
Te 127.60 Te.upf
Sn 118.71 Sn.upf
ATOMIC_POSITIONS crystal
Sr 0.000 0.500 0.000
K 0.000 0.000 0.000
Te 0.000 0.000 0.500
Te 0.500 0.000 0.000
Sn 0.500 0.500 0.500
CELL_PARAMETERS angstrom
-2.498 5.387 1.026
-4.786 -2.523 1.593
1.981 -0.165 5.689

---

9.
! PBE KSrTlSn, optimized geometry; values from VASP
! - ρ: 5.36 Mg/m³
! - Space group: F-43m
! - Energy of formation: -286 meV per atom
! - Energy: -2.573 eV per atom
&SYSTEM
  ibrav = 0, nat = 4, ntyp = 4
/
ATOMIC_SPECIES
K 39.10 K.upf
Sr 87.62 Sr.upf
Tl 204.38 Tl.upf
Sn 118.71 Sn.upf
ATOMIC_POSITIONS crystal
K 0.500 0.500 0.500
Sr 0.000 0.000 0.000
Tl 0.750 0.750 0.750
Sn 0.250 0.250 0.250
CELL_PARAMETERS angstrom
-5.084 2.077 -1.929
-0.982 0.442 -5.721
-3.808 -3.565 -2.584

---

10.
! PBE KSr2Tl2Sn2, optimized geometry; values from VASP
! - ρ: 5.26 Mg/m³
! - Space group: R-3m
! - Energy of formation: -261 meV per atom
! - Energy: -2.718 eV per atom
&SYSTEM
  ibrav = 0, nat = 7, ntyp = 4
/
ATOMIC_SPECIES
K 39.10 K.upf
Sr 87.62 Sr.upf
Tl 204.38 Tl.upf
Sn 118.71 Sn.upf
ATOMIC_POSITIONS crystal
K 0.000 0.000 0.000
Sr 0.131 0.131 0.607
Sr 0.869 0.869 0.393
Tl 0.568 0.568 0.297
Tl 0.432 0.432 0.703
Sn 0.751 0.751 0.746
Sn 0.249 0.249 0.254
CELL_PARAMETERS angstrom
5.542 0.000 0.000
2.771 4.800 0.000
2.771 1.600 10.208

---

11.
! PBE KSr2ZnSn, optimized geometry; values from VASP
! - ρ: 3.24 Mg/m³
! - Space group: P4/mmm
! - Energy of formation: -76 meV per atom
! - Energy: -2.023 eV per atom
&SYSTEM
  ibrav = 0, nat = 5, ntyp = 4
/
ATOMIC_SPECIES
K 39.10 K.upf
Sr 87.62 Sr.upf
Zn 65.41 Zn.upf
Sn 118.71 Sn.upf
ATOMIC_POSITIONS crystal
K 0.500 0.500 0.500
Sr 0.000 0.000 0.500
Sr 0.500 0.000 0.000
Zn 0.000 0.000 0.000
Sn 0.000 0.500 0.000
CELL_PARAMETERS angstrom
-2.859 -5.415 0.753
4.411 -2.563 -1.682
2.054 -0.277 5.811

---

12.
! PBE KTa3Sn, optimized geometry; values from VASP
! - ρ: 11.18 Mg/m³
! - Space group: Pm-3m
! - Energy of formation: 2747 meV per atom
! - Energy: -5.385 eV per atom
&SYSTEM
  ibrav = 0, nat = 5, ntyp = 3
/
ATOMIC_SPECIES
K 39.10 K.upf
Sn 118.71 Sn.upf
Ta 180.95 Ta.upf
ATOMIC_POSITIONS crystal
K 0.000 0.000 0.000
Sn 0.500 0.500 0.500
Ta 0.000 0.500 0.000
Ta 0.000 0.000 0.500
Ta 0.500 0.000 0.000
CELL_PARAMETERS angstrom
4.703 0.000 0.000
0.000 4.703 0.000
0.000 0.000 4.703

---

Please write out number 2 again, unchanged.
! PBE KSrSn4, optimized geometry; values from VASP
! - ρ: 5.29 Mg/m³
! - Space group: F-43m
! - Energy of formation: -311 meV per atom
! - Energy: -3.442 eV per atom
&SYSTEM
  ibrav = 0, nat = 6, ntyp = 3
/
ATOMIC_SPECIES
Sr 87.62 Sr.upf
K 39.10 K.upf
Sn 118.71 Sn.upf
ATOMIC_POSITIONS crystal
Sr 0.250 0.250 0.250
K 0.000 0.000 0.000
Sn 0.625 0.625 0.126
Sn 0.625 0.126 0.625
Sn 0.625 0.625 0.625
Sn 0.126 0.625 0.625
CELL_PARAMETERS angstrom
6.441 0.000 0.000
3.220 5.578 0.000
3.220 1.859 5.259